# YHo2Er4, optimized geometry, DFT GGA-PBE
# Crystal system: triclinic
# Density, Mg/m³: 8.28
# Energy of formation from the pure elements, meV per atom: 80
# Polymorph energy (0 for the lowest one), eV/atom: 0.000
# E, eV/atom: -4.7588
data_YHo2Er4
_chemical_formula_sum 'Y2 Ho4 Er8'
_cell_length_a 5.9978
_cell_length_b 8.3615
_cell_length_c 9.7884
_cell_angle_alpha 84.94
_cell_angle_beta 72.26
_cell_angle_gamma 69.01
_symmetry_space_group_name_H-M 'P 1'
_symmetry_Int_Tables_number 1
loop_
_symmetry_equiv_pos_as_xyz
'x,y,z'
loop_
_atom_site_label
_atom_site_type_symbol
_atom_site_fract_x
_atom_site_fract_y
_atom_site_fract_z
Y1 Y 0.0000 0.0000 0.0000
Y2 Y 0.2867 0.1397 0.2850
Ho1 Ho 0.1694 0.6407 0.7863
Ho2 Ho 0.1861 0.5700 0.1426
Ho3 Ho 0.8846 0.4995 0.4986
Ho4 Ho 0.9861 0.0698 0.6423
Er1 Er 0.3539 0.7134 0.4243
Er2 Er 0.3910 0.2159 0.9213
Er3 Er 0.4279 0.2835 0.5666
Er4 Er 0.5652 0.8564 0.7180
Er5 Er 0.6077 0.7814 0.0672
Er6 Er 0.7431 0.3586 0.2181
Er7 Er 0.7791 0.4266 0.8606
Er8 Er 0.8152 0.9238 0.3635